VASP calculation (PBE) on Hg2Sb2Pb5 after structural relaxation.

Values from the calculation:
- energy above the most stable polymorph in this dataset (eV/atom) = 0.000
- SG = Cmce (64)
- DOS at the Fermi energy (states/eV/f.u.) = 5.38
- E (eV per atom) = -2.98

Lattice parameters (Å, degrees): 8.8127 8.8127 8.6927 90.00 90.00 58.03
Fractional positions:
Hg: 0.2019 0.2019 0.0000
Hg: 0.2981 0.2981 0.5000
Hg: 0.7019 0.7019 0.5000
Hg: 0.7981 0.7981 0.0000
Sb: 0.1430 0.8570 0.6450
Sb: 0.3570 0.6430 0.1450
Sb: 0.6430 0.3570 0.8550
Sb: 0.8570 0.1430 0.3550
Pb: 0.0000 0.0000 0.0000
Pb: 0.0196 0.7134 0.3524
Pb: 0.2134 0.5196 0.8524
Pb: 0.2866 0.9804 0.3524
Pb: 0.4804 0.7866 0.8524
Pb: 0.5000 0.5000 0.5000
Pb: 0.5196 0.2134 0.1476
Pb: 0.7134 0.0196 0.6476
Pb: 0.7866 0.4804 0.1476
Pb: 0.9804 0.2866 0.6476